# 1
First-principles (PBE-GGA) data for a geometry-optimized PuCrGe structure, as listed in Alexandria.

Results
Final energy in eV per atom: -9.4154
Space-group type: Cmcm
Energy of formation in eV per atom: 0.109

a = 7.399 Å, b = 7.399 Å, c = 4.287 Å
α = 90.00°, β = 90.00°, γ = 152.55°
Fractional positions:
Pu1 0.122 0.878 0.750
Pu2 0.878 0.122 0.250
Cr1 0.271 0.729 0.750
Cr2 0.729 0.271 0.250
Ge1 0.448 0.552 0.750
Ge2 0.552 0.448 0.250



# 2
First-principles (PBE-GGA) data for a geometry-optimized AlPt2Rh structure, as listed in Alexandria.

Results
Final energy in eV per atom: -6.3509
Space-group type: P4mm
Energy of formation in eV per atom: -0.557

a = 2.829 Å, b = 2.829 Å, c = 7.350 Å
α = 90.00°, β = 90.00°, γ = 90.00°
Fractional positions:
Al1 0.000 0.000 0.000
Pt1 0.000 0.000 0.514
Pt2 0.500 0.500 0.230
Rh1 0.500 0.500 0.784



Question: Which of these has the lowest energy of formation?
Answer: AlPt2Rh



Question: What is the formula in the first record?
Answer: PuCrGe



Question: The lowest energy of formation belongs to which entry?
Answer: AlPt2Rh